Entry 1:
Below is a relaxed TbHoBr2O2 crystal, with properties calculated at the PBE level.

E: -0.490 Ry/atom
Symmetry: P4mm

```
TbHoBr2O2
1.0
3.829 0.000 0.000
0.000 3.829 0.000
0.000 0.000 8.451
Tb Ho Br O
1 1 2 2
Direct
0.000 0.000 0.000
0.500 0.500 0.271
0.000 0.000 0.466
0.500 0.500 0.805
0.000 0.500 0.138
0.500 0.000 0.138
```

=====

Entry 2:
Below is a relaxed Zn2Ni3C crystal, with properties calculated at the PBE level.

E: -0.341 Ry/atom
Symmetry: P-3m1

```
Zn2Ni3C
1.0
2.787 0.000 0.000
-1.394 2.414 0.000
0.000 0.000 10.083
Zn Ni C
2 3 1
Direct
0.333 0.667 0.312
0.667 0.333 0.688
0.000 0.000 0.500
0.333 0.667 0.894
0.667 0.333 0.106
0.000 0.000 0.000
```

=====

> E of number 2 (Zn2Ni3C)?

-0.341 Ry/atom